Below is Zr2IrRh at its PBEsol-relaxed geometry, with properties calculated at the meta-GGA SCAN level.

Calculated values
ΔH_f (0 K) in eV/atom: -1.019

a = 3.1328 Å, b = 4.4668 Å, c = 5.1678 Å
α = 90.00°, β = 103.55°, γ = 90.00°
Closest atoms and distances in Å follow each position.
Atoms (fractional coordinates):
Ir 0.3012 0.0000 0.4396  7 Zr 2.70-2.83, 2 Rh 2.92
Rh 0.4497 0.5000 0.8129  7 Zr 2.68-2.85, 2 Ir 2.92
Zr 0.9903 0.0000 0.9055  3 Ir 2.70-2.83, 4 Rh 2.76-2.78
Zr 0.7589 0.5000 0.3421  3 Rh 2.68-2.85, 4 Ir 2.76-2.78

=====

Below is MgTe2Cl at its PBEsol-relaxed geometry, with properties calculated at the meta-GGA SCAN level.

Calculated values
E_form (uncorrected) in eV per formula unit: -1.85

a = 4.2301 Å, b = 4.2301 Å, c = 12.4061 Å
α = 99.82°, β = 99.82°, γ = 90.00°
Closest atoms and distances in Å follow each position.
Atoms (fractional coordinates):
Te 0.1250 0.1312 0.7500  4 Te 2.95-3.03
Te 0.3812 0.8750 0.2500  4 Te 2.95-3.03
Te 0.8688 0.3750 0.2500  4 Te 2.95-3.03
Te 0.6250 0.6188 0.7500  4 Te 2.95-3.03
Cl 0.0000 0.0000 0.0000  4 Mg 2.99
Cl 0.2500 0.7500 0.5000  4 Mg 2.99
Mg 0.5000 0.5000 0.0000  4 Cl 2.99
Mg 0.7500 0.2500 0.5000  4 Cl 2.99

=====

Below is CdIn3Ge at its PBEsol-relaxed geometry, with properties calculated at the meta-GGA SCAN level.

Calculated values
ΔH_f (0 K) in eV/atom: 0.674

a = 5.3277 Å, b = 5.3277 Å, c = 5.3277 Å
α = 90.00°, β = 90.00°, γ = 90.00°
Closest atoms and distances in Å follow each position.
Atoms (fractional coordinates):
Cd 0.0000 0.0000 0.0000  6 In 2.66
In 0.5000 0.0000 0.0000  2 Cd 2.66
In 0.0000 0.0000 0.5000  2 Cd 2.66
In 0.0000 0.5000 0.0000  2 Cd 2.66
Ge 0.5000 0.5000 0.5000  12 In 3.77

=====

Below is Zn3NiSn at its PBEsol-relaxed geometry, with properties calculated at the meta-GGA SCAN level.

Calculated values
ΔH_f (0 K) in eV/atom: 1.110

a = 4.9706 Å, b = 4.9706 Å, c = 4.9706 Å
α = 90.00°, β = 90.00°, γ = 90.00°
Closest atoms and distances in Å follow each position.
Atoms (fractional coordinates):
Sn 0.0000 0.0000 0.0000  6 Zn 2.49
Ni 0.5000 0.5000 0.5000  12 Zn 3.51
Zn 0.5000 0.0000 0.0000  2 Sn 2.49
Zn 0.0000 0.5000 0.0000  2 Sn 2.49
Zn 0.0000 0.0000 0.5000  2 Sn 2.49

=====

Below is Y3BiC at its PBEsol-relaxed geometry, with properties calculated at the meta-GGA SCAN level.

Calculated values
ΔH_f (0 K) in eV/atom: -0.699
Distance to the lowest polymorph of the same formula in meV/atom: 10

a = 4.8634 Å, b = 4.8634 Å, c = 4.8634 Å
α = 90.00°, β = 90.00°, γ = 90.00°
Closest atoms and distances in Å follow each position.
Atoms (fractional coordinates):
Y 0.0000 0.0000 0.5000  2 C 2.43
Y 0.5000 0.0000 0.0000  2 C 2.43
Y 0.0000 0.5000 0.0000  2 C 2.43
C 0.0000 0.0000 0.0000  6 Y 2.43
Bi 0.5000 0.5000 0.5000  12 Y 3.44

=====

Below is Al3Au4 at its PBEsol-relaxed geometry, with properties calculated at the meta-GGA SCAN level.

Calculated values
ΔH_f (0 K) in eV/atom: -0.549

a = 3.4517 Å, b = 3.4517 Å, c = 9.8058 Å
α = 100.14°, β = 100.14°, γ = 90.00°
Closest atoms and distances in Å follow each position.
Atoms (fractional coordinates):
Al 0.0000 0.0000 0.0000  10 Au 2.79-2.96
Al 0.7079 0.7079 0.4157  6 Au 2.59-2.63
Al 0.2921 0.2921 0.5843  6 Au 2.59-2.63
Au 0.8443 0.8443 0.6887  5 Al 2.59-2.63
Au 0.4290 0.4290 0.8579  5 Al 2.60-2.79, 1 Au 2.70
Au 0.5710 0.5710 0.1421  5 Al 2.60-2.79, 1 Au 2.70
Au 0.1556 0.1556 0.3113  5 Al 2.59-2.63

=====

no.,ρ (g/cm3),DOS at the Fermi energy (states/eV/cell),uncorrected energy (eV per atom)
1,11.28,2.36,-42.5859
2,4.86,2.00,-22.3267
3,5.81,3.45,-29.2582
4,5.05,4.63,-17.4183
5,7.04,2.85,-35.1409
6,12.75,0.76,-43.3893